# 1
Entry from Alexandria via LeMat-Bulk: an optimized crystal structure of Pr2Sm5Y5 (PBE).

Values from the calculation:
SG: C2/m (12)
Energy relative to the elements (meV/atom): 61

a = 9.095 Å, b = 9.095 Å, c = 9.913 Å
α = 122.99°, β = 122.99°, γ = 36.70°
Fractional coordinates of all 12 atoms:
Pr  0.123  0.123  0.459
Pr  0.877  0.877  0.541
Sm  0.000  0.000  0.000
Sm  0.123  0.123  0.788
Sm  0.248  0.248  0.245
Sm  0.752  0.752  0.755
Sm  0.877  0.877  0.212
Y  0.375  0.375  0.042
Y  0.375  0.375  0.707
Y  0.500  0.500  0.500
Y  0.625  0.625  0.293
Y  0.625  0.625  0.958

=====

# 2
Entry from Alexandria via LeMat-Bulk: an optimized crystal structure of CaHf2S4 (PBE).

Values from the calculation:
SG: Cmcm (63)
ΔE_f (raw) (eV/atom): -1.650

a = 6.280 Å, b = 6.280 Å, c = 12.810 Å
α = 90.00°, β = 90.00°, γ = 145.56°
Fractional coordinates of all 14 atoms:
Ca  0.118  0.882  0.750
Ca  0.882  0.118  0.250
Hf  0.375  0.625  0.562
Hf  0.375  0.625  0.938
Hf  0.625  0.375  0.062
Hf  0.625  0.375  0.438
S  0.000  0.000  0.000
S  0.000  0.000  0.500
S  0.270  0.730  0.115
S  0.270  0.730  0.385
S  0.445  0.555  0.750
S  0.555  0.445  0.250
S  0.730  0.270  0.615
S  0.730  0.270  0.885

=====

DOS(E_F) / states/eV per cell: 20.2; 4.7